## CeIClF (PBE-GGA)

Data for a relaxed CeIClF crystal.

Cell and atoms, written as POSCAR:
```
CeIClF
1.0
4.210 0.000 0.000
-2.105 3.646 0.000
0.000 0.000 23.063
Ce I Cl F
3 3 3 3
Direct
0.000 0.000 0.000
0.333 0.667 0.667
0.667 0.333 0.333
0.000 0.000 0.765
0.333 0.667 0.431
0.667 0.333 0.098
0.000 0.000 0.592
0.333 0.667 0.259
0.667 0.333 0.926
0.000 0.000 0.333
0.333 0.667 0.000
0.667 0.333 0.666
```

Summary:
Total magnetization   3.0 Bohr magnetons per cell
E_tot   -21.31 eV per formula unit
Space-group type   R3m
N(E_F)   23.0 states/eV/cell